1.
This record from Alexandria describes Li3TlSi at its PBEsol-relaxed geometry. The functional is SCAN.

## Properties
V   116.6 Å³/cell
Total DFT energy (no corrections)   -17.43 eV/atom
Polymorph energy (0 for the lowest one)   443.6 meV/atom
Symmetry   No. 221

Cell: 4.8851 4.8851 4.8851 Å, 90.00 90.00 90.00°
With the nearest neighbours (Å) after each atom.
Fractional coordinates of all 5 atoms:
Tl1 0.0000 0.0000 0.0000  6 Li 2.44
Si1 0.5000 0.5000 0.5000  12 Li 3.45
Li1 0.0000 0.5000 0.0000  2 Tl 2.44
Li2 0.0000 0.0000 0.5000  2 Tl 2.44
Li3 0.5000 0.0000 0.0000  2 Tl 2.44

2.
This record from Alexandria describes NaCdCo2Pd at its PBEsol-relaxed geometry. The functional is SCAN.

## Properties
V   105.8 Å³/cell
Total DFT energy (no corrections)   -19.13 eV/atom
Symmetry   No. 123

Cell: 4.6565 4.6565 4.8780 Å, 90.00 90.00 90.00°
With the nearest neighbours (Å) after each atom.
Fractional coordinates of all 5 atoms:
Na1 0.0000 0.0000 0.5000  2 Cd 2.44
Co1 0.0000 0.5000 0.0000  2 Cd 2.33
Co2 0.5000 0.0000 0.0000  2 Cd 2.33
Pd1 0.5000 0.5000 0.5000  4 Na 3.29, 8 Co 3.37
Cd1 0.0000 0.0000 0.0000  4 Co 2.33, 2 Na 2.44

3.
This record from Alexandria describes MnCoOs2 at its PBEsol-relaxed geometry. The functional is SCAN.

## Properties
V   52.0 Å³/cell
Total DFT energy (no corrections)   -44.50 eV/atom
Polymorph energy (0 for the lowest one)   233.1 meV/atom
Symmetry   No. 35

Cell: 2.6093 2.6093 8.5077 Å, 90.00 90.00 116.18°
With the nearest neighbours (Å) after each atom.
Fractional coordinates of all 4 atoms:
Co1 0.0000 0.0000 0.4888  2 Mn 2.38, 2 Os 2.53, 4 Co 2.61
Mn1 0.5000 0.5000 0.2603  2 Co 2.38, 2 Os 2.52, 4 Mn 2.61
Os1 0.0000 0.0000 0.0123  2 Mn 2.52, 8 Os 2.61-2.76
Os2 0.5000 0.5000 0.7386  2 Co 2.53, 8 Os 2.61-2.76